1 | LiHg2W (PBE, relaxed); size of the total moment = 0.000 μB/atom
1.0
9.828 0.008 0.004
9.381 2.932 0.004
9.381 1.435 2.556
W Hg Li
1 2 1
Direct
0.750 0.750 0.750
0.503 0.503 0.503
0.997 0.997 0.997
0.250 0.250 0.250

2 | LiHg2W (PBE, relaxed); size of the total moment = 0.493 μB/atom
1.0
3.297 -2.780 1.910
2.532 1.526 3.676
-0.682 -1.874 4.275
W Li Hg
1 1 2
Direct
0.500 0.500 0.500
0.000 0.000 0.000
0.750 0.750 0.750
0.250 0.250 0.250

3 | LiHg2W (PBE, relaxed); size of the total moment = 0.151 μB/atom
1.0
4.824 0.001 -0.015
4.003 2.692 -0.015
0.693 0.212 5.833
W Li Hg
1 1 2
Direct
0.750 0.750 0.750
0.250 0.250 0.250
0.000 0.000 0.003
0.500 0.500 0.497

Computed stability ranking, most favorable first: 1, 3, 2

1 | LiHg2W (PBE, relaxed); size of the total moment = 0.000 μB/atom
1.0
5.579 0.001 -0.001
4.868 2.726 -0.001
1.584 0.414 4.891
Hg W Li
2 1 1
Direct
0.002 0.002 0.890
0.252 0.252 0.345
0.746 0.746 0.850
0.500 0.500 0.415

2 | LiHg2W (PBE, relaxed); size of the total moment = 0.249 μB/atom
1.0
-4.488 -2.265 1.946
-0.250 -5.381 -0.211
3.565 3.667 1.707
Li W Hg
1 1 2
Direct
0.500 0.500 0.000
0.750 0.250 0.500
0.250 0.750 0.500
0.000 0.000 0.000

Computed stability ranking, most favorable first: 1, 2

1 | LiHg2W (PBE, relaxed); size of the total moment = 0.000 μB/atom
1.0
-1.043 -5.631 -0.263
3.056 -3.300 3.555
-3.936 4.054 -0.971
Hg W Li
2 1 1
Direct
0.517 0.517 0.000
0.983 0.983 0.000
0.250 0.750 0.500
0.750 0.250 0.500

2 | LiHg2W (PBE, relaxed); size of the total moment = 0.119 μB/atom
1.0
-3.639 -0.305 -4.696
-5.362 -2.551 0.363
3.955 4.191 1.478
Hg W Li
2 1 1
Direct
0.004 0.004 0.000
0.741 0.241 0.500
0.251 0.751 0.500
0.503 0.503 0.000

Computed stability ranking, most favorable first: 2, 1

1 | LiHg2W (PBE, relaxed); size of the total moment = 0.000 μB/atom
1.0
-1.364 2.436 0.456
-0.751 -0.902 2.574
7.825 3.713 3.585
Hg Li W
2 1 1
Direct
0.000 0.000 0.979
0.500 0.500 0.279
0.000 0.000 0.505
0.500 0.500 0.736

2 | LiHg2W (PBE, relaxed); size of the total moment = 0.142 μB/atom
1.0
-4.572 1.043 -1.864
-1.316 -0.290 4.864
0.518 2.825 0.309
Hg W Li
2 1 1
Direct
0.000 0.000 0.000
0.500 0.500 0.000
0.000 0.500 0.500
0.500 0.000 0.500

Computed stability ranking, most favorable first: 2, 1